Entry 1:
CaZn5Cu2Ag | PBE-GGA | relaxed

abc: 4.7321 4.7321 7.1357
angles: 90.00 90.00 90.00
With the nearest neighbours (Å) after each atom.
Fractional coordinates of all 9 atoms:
1 Ca 0.0000 0.0000 0.5000  12 Zn 3.15-3.35
2 Zn 0.0000 0.5000 0.2094  2 Cu 2.39
3 Zn 0.5000 0.0000 0.2094  2 Cu 2.39
4 Zn 0.0000 0.5000 0.7906  2 Cu 2.39
5 Zn 0.5000 0.0000 0.7906  2 Cu 2.39
6 Zn 0.5000 0.5000 0.5000  2 Cu 2.38
7 Cu 0.5000 0.5000 0.1665  1 Cu 2.38, 5 Zn 2.38-2.39
8 Cu 0.5000 0.5000 0.8335  1 Cu 2.38, 5 Zn 2.38-2.39
9 Ag 0.0000 0.0000 0.0000  8 Zn 2.80

- ΔE_f: 0.1 eV/f.u.
- SG: No. 123
- DFT total energy: -2.15 eV per atom


Entry 2:
Ca2DyAg3 | PBE-GGA | relaxed

abc: 3.6879 3.6879 11.0654
angles: 90.00 90.00 90.00
With the nearest neighbours (Å) after each atom.
Fractional coordinates of all 6 atoms:
1 Ca 0.5000 0.5000 0.8301  8 Ag 3.21-3.27
2 Ca 0.5000 0.5000 0.1699  8 Ag 3.21-3.27
3 Dy 0.5000 0.5000 0.5000  8 Ag 3.10
4 Ag 0.0000 0.0000 0.0000  8 Ca 3.21
5 Ag 0.0000 0.0000 0.6518  4 Dy 3.10, 4 Ca 3.27, 1 Ag 3.36
6 Ag 0.0000 0.0000 0.3482  4 Dy 3.10, 4 Ca 3.27, 1 Ag 3.36

- ΔE to the lowest computed polymorph: 0 meV/atom
- ΔE_f: -1.9 eV/f.u.
- SG: No. 123
- DFT total energy: -3.18 eV per atom


Entry 3:
Ca2DyAg4 | PBE-GGA | relaxed

abc: 5.3306 5.3306 7.5497
angles: 110.67 110.67 90.00
With the nearest neighbours (Å) after each atom.
Fractional coordinates of all 7 atoms:
1 Ca 0.7247 0.7247 0.4493  4 Ag 3.04
2 Ca 0.2753 0.2753 0.5507  4 Ag 3.04
3 Ag 0.3869 0.8869 0.7739  1 Ag 2.96, 2 Ca 3.04, 2 Dy 3.05
4 Ag 0.8869 0.3869 0.7739  1 Ag 2.96, 2 Ca 3.04, 2 Dy 3.05
5 Ag 0.6131 0.1131 0.2261  1 Ag 2.96, 2 Ca 3.04, 2 Dy 3.05
6 Ag 0.1131 0.6131 0.2261  1 Ag 2.96, 2 Ca 3.04, 2 Dy 3.05
7 Dy 0.0000 0.0000 0.0000  8 Ag 3.05

- ΔE_f: -0.8 eV/f.u.
- SG: No. 139
- DFT total energy: -2.98 eV per atom


Entry 4:
CaDy5Ag4 | PBE-GGA | relaxed

abc: 3.6360 3.6360 20.0561
angles: 90.00 90.00 90.00
With the nearest neighbours (Å) after each atom.
Fractional coordinates of all 10 atoms:
1 Ca 0.0000 0.0000 0.0000  4 Ca 3.64, 8 Dy 3.80
2 Dy 0.5000 0.5000 0.1395  4 Ag 3.10
3 Dy 0.5000 0.5000 0.3182  8 Ag 3.16-3.17
4 Dy 0.5000 0.5000 0.5000  8 Ag 3.14
5 Dy 0.5000 0.5000 0.6818  8 Ag 3.16-3.17
6 Dy 0.5000 0.5000 0.8605  4 Ag 3.10
7 Ag 0.0000 0.0000 0.2260  8 Dy 3.10-3.17
8 Ag 0.0000 0.0000 0.4100  8 Dy 3.14-3.16
9 Ag 0.0000 0.0000 0.5900  8 Dy 3.14-3.16
10 Ag 0.0000 0.0000 0.7740  8 Dy 3.10-3.17

- ΔE_f: -2.1 eV/f.u.
- SG: No. 123
- DFT total energy: -3.86 eV per atom


Entry 5:
CaDyAg4 | PBE-GGA | relaxed

abc: 5.2973 5.3766 5.3795
angles: 59.01 90.03 90.04
With the nearest neighbours (Å) after each atom.
Fractional coordinates of all 6 atoms:
1 Ca 0.0013 0.9965 0.4990  10 Ag 3.09-3.10
2 Dy 0.5013 0.4980 0.9974  10 Ag 3.07-3.10
3 Ag 0.5012 0.8262 0.3246  5 Ag 3.02-3.23, 3 Dy 3.07-3.10, 2 Ca 3.10
4 Ag 0.5014 0.1712 0.6689  5 Ag 3.02-3.23, 3 Dy 3.07-3.10, 2 Ca 3.10
5 Ag 0.0012 0.3257 0.8294  5 Ag 3.03-3.19, 3 Ca 3.09, 2 Dy 3.09
6 Ag 0.0014 0.6662 0.1696  5 Ag 3.03-3.19, 3 Ca 3.09, 2 Dy 3.09

- ΔE to the lowest computed polymorph: 0 meV/atom
- ΔE_f: -1.6 eV/f.u.
- SG: No. 38
- DFT total energy: -3.27 eV per atom


Entry 6:
CaDy2Ag6 | PBE-GGA | relaxed

abc: 5.3212 9.2915 9.2915
angles: 120.14 89.99 89.99
With the nearest neighbours (Å) after each atom.
Fractional coordinates of all 18 atoms:
1 Ca 0.2500 0.2501 0.7499  10 Ag 3.04-3.15
2 Ca 0.7500 0.7499 0.2501  10 Ag 3.04-3.15
3 Dy 0.5000 0.6651 0.8350  10 Ag 3.05-3.10
4 Dy 0.0000 0.1650 0.3349  10 Ag 3.05-3.10
5 Dy 0.5000 0.3349 0.1650  10 Ag 3.05-3.10
6 Dy 0.0000 0.8350 0.6651  10 Ag 3.05-3.10
7 Ag 0.4950 0.6645 0.5034  5 Ag 3.03-3.13, 4 Dy 3.05-3.10, 1 Ca 3.14
8 Ag 0.0050 0.4966 0.3355  5 Ag 3.03-3.13, 4 Dy 3.05-3.10, 1 Ca 3.14
9 Ag 0.5050 0.3355 0.4966  5 Ag 3.03-3.13, 4 Dy 3.05-3.10, 1 Ca 3.14
10 Ag 0.9950 0.5034 0.6645  5 Ag 3.03-3.13, 4 Dy 3.05-3.10, 1 Ca 3.14
11 Ag 0.2481 0.9104 0.4104  5 Ag 2.97-3.15, 3 Ca 3.04-3.15, 2 Dy 3.08
12 Ag 0.2519 0.5896 0.0896  5 Ag 2.97-3.15, 3 Ca 3.04-3.15, 2 Dy 3.08
13 Ag 0.7519 0.0896 0.5896  5 Ag 2.97-3.15, 3 Ca 3.04-3.15, 2 Dy 3.08
14 Ag 0.7481 0.4104 0.9104  5 Ag 2.97-3.15, 3 Ca 3.04-3.15, 2 Dy 3.08
15 Ag 0.0048 0.8356 0.9968  5 Ag 3.03-3.12, 4 Dy 3.05-3.10, 1 Ca 3.14
16 Ag 0.4952 0.0032 0.1644  5 Ag 3.03-3.12, 4 Dy 3.05-3.10, 1 Ca 3.14
17 Ag 0.9952 0.1644 0.0032  5 Ag 3.03-3.12, 4 Dy 3.05-3.10, 1 Ca 3.14
18 Ag 0.5048 0.9968 0.8356  5 Ag 3.03-3.12, 4 Dy 3.05-3.10, 1 Ca 3.14

- ΔE_f: -2.1 eV/f.u.
- SG: No. 12
- DFT total energy: -3.38 eV per atom


Entry 7:
CaDy3Ag4 | PBE-GGA | relaxed

abc: 5.1614 7.2787 10.3204
angles: 90.00 90.00 90.00
With the nearest neighbours (Å) after each atom.
Fractional coordinates of all 16 atoms:
1 Ca 0.0000 0.5000 0.0000  8 Ag 3.19
2 Ca 0.0000 0.5000 0.5000  8 Ag 3.19
3 Ag 0.5000 0.7577 0.0000  6 Dy 3.13-3.19, 2 Ca 3.19
4 Ag 0.5000 0.7577 0.5000  6 Dy 3.13-3.19, 2 Ca 3.19
5 Ag 0.5000 0.2423 0.0000  6 Dy 3.13-3.19, 2 Ca 3.19
6 Ag 0.5000 0.2423 0.5000  6 Dy 3.13-3.19, 2 Ca 3.19
7 Ag 0.0007 0.7576 0.7500  6 Dy 3.12-3.19, 2 Ca 3.19
8 Ag 0.9993 0.7576 0.2500  6 Dy 3.12-3.19, 2 Ca 3.19
9 Ag 0.9993 0.2424 0.2500  6 Dy 3.12-3.19, 2 Ca 3.19
10 Ag 0.0007 0.2424 0.7500  6 Dy 3.12-3.19, 2 Ca 3.19
11 Dy 0.0000 0.0000 0.0000  8 Ag 3.13
12 Dy 0.0000 0.0000 0.5000  8 Ag 3.13
13 Dy 0.5004 0.0000 0.7500  8 Ag 3.12-3.13
14 Dy 0.4996 0.0000 0.2500  8 Ag 3.12-3.13
15 Dy 0.5004 0.5000 0.7500  8 Ag 3.19
16 Dy 0.4996 0.5000 0.2500  8 Ag 3.19

- ΔE_f: -2.5 eV/f.u.
- SG: No. 123
- DFT total energy: -3.72 eV per atom


Entry 8:
Ca2DyAg | PBE-GGA | relaxed

abc: 3.5645 3.5645 9.7050
angles: 90.00 90.00 90.00
With the nearest neighbours (Å) after each atom.
Fractional coordinates of all 4 atoms:
1 Ca 0.0000 0.0000 0.7951  4 Ag 3.21, 4 Ca 3.56
2 Ca 0.0000 0.0000 0.2049  4 Ag 3.21, 4 Ca 3.56
3 Ag 0.5000 0.5000 0.0000  8 Ca 3.21, 4 Ag 3.56
4 Dy 0.5000 0.5000 0.5000  4 Dy 3.56, 8 Ca 3.82

- ΔE to the lowest computed polymorph: 0 meV/atom
- ΔE_f: -0.2 eV/f.u.
- SG: No. 123
- DFT total energy: -2.92 eV per atom


Entry 9:
CaDyAg4 | PBE-GGA | relaxed

abc: 5.7327 5.7327 5.7327
angles: 60.00 60.00 60.00
With the nearest neighbours (Å) after each atom.
Fractional coordinates of all 6 atoms:
1 Ca 0.2500 0.2500 0.2500  12 Ag 3.36, 4 Dy 3.51
2 Ag 0.6248 0.6248 0.1256  6 Ag 2.86-2.87
3 Ag 0.6248 0.1256 0.6248  6 Ag 2.86-2.87
4 Ag 0.6248 0.6248 0.6248  6 Ag 2.86-2.87
5 Ag 0.1256 0.6248 0.6248  6 Ag 2.86-2.87
6 Dy 0.0000 0.0000 0.0000  12 Ag 3.36, 4 Ca 3.51

- ΔE to the lowest computed polymorph: 87 meV/atom
- ΔE_f: -1.1 eV/f.u.
- SG: No. 216
- DFT total energy: -3.19 eV per atom


Entry 10:
Ca2DyAg | PBE-GGA | relaxed

abc: 3.6396 3.6396 11.6656
angles: 81.03 81.03 60.00
With the nearest neighbours (Å) after each atom.
Fractional coordinates of all 4 atoms:
1 Ca 0.1008 0.1008 0.6975  3 Ag 3.09
2 Ca 0.8992 0.8992 0.3025  3 Ag 3.09
3 Ag 0.5000 0.5000 0.5000  6 Ca 3.09
4 Dy 0.0000 0.0000 0.0000  2 Ca 3.47, 6 Dy 3.64

- ΔE to the lowest computed polymorph: 229 meV/atom
- ΔE_f: 0.7 eV/f.u.
- SG: No. 166
- DFT total energy: -2.69 eV per atom


Entry 11:
Ca2DyAg3 | PBE-GGA | relaxed

abc: 5.1914 5.1914 6.3784
angles: 90.00 90.00 120.00
With the nearest neighbours (Å) after each atom.
Fractional coordinates of all 6 atoms:
1 Ca 0.6667 0.3333 0.3384  8 Ag 3.07-3.31
2 Ca 0.3333 0.6667 0.6616  8 Ag 3.07-3.31
3 Dy 0.0000 0.0000 0.0000  8 Ag 3.13-3.19
4 Ag 0.0000 0.0000 0.5000  6 Ca 3.17, 2 Dy 3.19
5 Ag 0.6667 0.3333 0.8572  5 Ca 3.07-3.31, 3 Dy 3.13
6 Ag 0.3333 0.6667 0.1428  5 Ca 3.07-3.31, 3 Dy 3.13

- ΔE to the lowest computed polymorph: 7 meV/atom
- ΔE_f: -1.9 eV/f.u.
- SG: No. 164
- DFT total energy: -3.17 eV per atom


Entry 12:
CaDyAg | PBE-GGA | relaxed

abc: 4.9899 4.9899 9.2368
angles: 74.33 74.33 60.00
With the nearest neighbours (Å) after each atom.
Fractional coordinates of all 6 atoms:
1 Ag 0.2568 0.2568 0.2295  4 Dy 3.03-3.05, 3 Ca 3.15
2 Ag 0.7432 0.7432 0.7705  4 Dy 3.03-3.05, 3 Ca 3.15
3 Dy 0.3721 0.3721 0.8837  4 Ag 3.03-3.05
4 Dy 0.6279 0.6279 0.1163  4 Ag 3.03-3.05
5 Ca 0.8752 0.8752 0.3743  4 Ag 3.15-3.48
6 Ca 0.1248 0.1248 0.6257  4 Ag 3.15-3.48

- ΔE to the lowest computed polymorph: 134 meV/atom
- ΔE_f: -0.1 eV/f.u.
- SG: No. 166
- DFT total energy: -3.18 eV per atom